[1]
First-principles (PBE) data for a relaxed CrTc2Ir2 crystal, as listed in Alexandria via LeMat-Bulk.

The space group is P4/mbm (No. 127) and the conventional cell measures 7.4465, 7.4465 and 2.7322 Å, with angles of 90.00, 90.00 and 90.00 degrees. Symmetry generates all atoms from Cr at (0.0000, 0.0000, 0.0000), Tc at (0.1728, 0.3272, 0.5000) and Ir at (0.1248, 0.6248, 0.0000).

---

[2]
First-principles (PBE) data for a relaxed CaCoAg crystal, as listed in Alexandria via LeMat-Bulk.

The space group is F-43m (No. 216) and the conventional cell measures 6.7716, 6.7716 and 6.7716 Å, with angles of 90.00, 90.00 and 90.00 degrees. Symmetry generates all atoms from Ca at (0.0000, 0.0000, 0.0000), Co at (0.2500, 0.2500, 0.7500) and Ag at (0.2500, 0.2500, 0.2500).

---

[3]
First-principles (PBE) data for a relaxed Fe6Co2Ni3 crystal, as listed in Alexandria via LeMat-Bulk.

The space group is C2/m (No. 12) and the conventional cell measures 5.0493, 7.1513 and 7.3030 Å, with angles of 90.00, 99.66 and 90.00 degrees. Symmetry generates all atoms from Fe at (0.0000, 0.2362, 0.0000), Fe at (0.0980, 0.2142, 0.3485), Co at (0.2193, 0.0000, 0.8130), Ni at (0.0000, 0.5000, 0.5000) and Ni at (0.1899, 0.5000, 0.8364).

---

Fermi-level density of states, respectively: 15.38; 9.02; 20.72 states/eV per cell.
Energy of formation from the pure elements, respectively: 256; 871; 118 meV/atom.